Entry one
{"formula": "InSb2PtI", "functional": "PBE", "state": "relaxed", "lattice_angstrom": [[5.597, 0.000, 0.000], [0.000, 5.597, 0.000], [0.000, 0.000, 5.594]], "species": ["In", "Sb", "Sb", "Pt", "I"], "fractional_positions": [[0.000, 0.000, 0.000], [0.000, 0.500, 0.000], [0.500, 0.000, 0.000], [0.500, 0.500, 0.500], [0.000, 0.000, 0.500]], "dos_ef_per_ev_cell": 4.8}

---

Entry two
{"formula": "InSb2PtI", "functional": "PBE", "state": "relaxed", "lattice_angstrom": [[5.260, 0.000, 0.000], [0.000, 5.260, 0.000], [0.000, 0.000, 5.847]], "species": ["In", "Sb", "Sb", "Pt", "I"], "fractional_positions": [[0.000, 0.000, 0.000], [0.000, 0.500, 0.500], [0.500, 0.000, 0.500], [0.500, 0.500, 0.500], [0.500, 0.500, 0.000]], "dos_ef_per_ev_cell": 4.7}

---

According to the calculations, the structures order from most to least stable as entry two, entry one.

---

Entry one
{"formula": "PuIn2I4", "functional": "PBE", "state": "relaxed", "lattice_angstrom": [[-3.140, 3.140, 8.418], [3.140, -3.140, 8.418], [3.140, 3.140, -8.418]], "species": ["Pu", "In", "In", "I", "I", "I", "I"], "fractional_positions": [[0.000, 0.000, 0.000], [0.375, 0.375, 0.000], [0.625, 0.625, 0.000], [0.000, 0.500, 0.500], [0.186, 0.186, 0.000], [0.500, 0.000, 0.500], [0.814, 0.814, 0.000]], "dos_ef_per_ev_cell": 19.2}

---

Entry two
{"formula": "PuIn2I4", "functional": "PBE", "state": "relaxed", "lattice_angstrom": [[6.896, 0.000, 0.000], [0.000, 4.680, 0.000], [-3.239, 0.000, 9.435]], "species": ["Pu", "In", "In", "I", "I", "I", "I"], "fractional_positions": [[0.000, 0.000, 0.000], [0.241, 0.500, 0.464], [0.759, 0.500, 0.536], [0.175, 0.500, 0.856], [0.389, 0.000, 0.277], [0.611, 0.000, 0.723], [0.825, 0.500, 0.144]], "dos_ef_per_ev_cell": 16.9}

---

According to the calculations, the structures order from most to least stable as entry two, entry one.

---

Entry one
{"formula": "RbInI4", "functional": "PBE", "state": "relaxed", "lattice_angstrom": [[7.545, 0.000, 0.000], [0.000, 11.918, 0.000], [-1.385, 0.000, 7.491]], "species": ["Rb", "Rb", "In", "In", "I", "I", "I", "I", "I", "I", "I", "I"], "fractional_positions": [[0.111, 0.250, 0.192], [0.889, 0.750, 0.808], [0.402, 0.750, 0.305], [0.598, 0.250, 0.695], [0.233, 0.250, 0.703], [0.235, 0.567, 0.122], [0.235, 0.933, 0.122], [0.368, 0.750, 0.660], [0.632, 0.250, 0.340], [0.765, 0.067, 0.878], [0.765, 0.433, 0.878], [0.767, 0.750, 0.297]], "dos_ef_per_ev_cell": 0.0}

---

Entry two
{"formula": "RbInI4", "functional": "PBE", "state": "relaxed", "lattice_angstrom": [[12.695, 7.329, 3.353], [-12.695, 7.329, 3.353], [0.000, -14.658, 3.353]], "species": ["Rb", "Rb", "Rb", "Rb", "Rb", "Rb", "In", "In", "In", "In", "In", "In", "I", "I", "I", "I", "I", "I", "I", "I", "I", "I", "I", "I", "I", "I", "I", "I", "I", "I", "I", "I", "I", "I", "I", "I"], "fractional_positions": [[0.041, 0.823, 0.636], [0.136, 0.323, 0.541], [0.323, 0.541, 0.136], [0.541, 0.136, 0.323], [0.636, 0.041, 0.823], [0.823, 0.636, 0.041], [0.021, 0.627, 0.810], [0.127, 0.521, 0.310], [0.310, 0.127, 0.521], [0.521, 0.310, 0.127], [0.627, 0.810, 0.021], [0.810, 0.021, 0.627], [0.024, 0.277, 0.731], [0.061, 0.856, 0.909], [0.061, 0.993, 0.453], [0.231, 0.777, 0.524], [0.239, 0.921, 0.290], [0.277, 0.731, 0.024], [0.290, 0.239, 0.921], [0.356, 0.561, 0.409], [0.409, 0.356, 0.561], [0.421, 0.739, 0.790], [0.453, 0.061, 0.993], [0.493, 0.561, 0.953], [0.524, 0.231, 0.777], [0.561, 0.409, 0.356], [0.561, 0.953, 0.493], [0.731, 0.024, 0.277], [0.739, 0.790, 0.421], [0.777, 0.524, 0.231], [0.790, 0.421, 0.739], [0.856, 0.909, 0.061], [0.909, 0.061, 0.856], [0.921, 0.290, 0.239], [0.953, 0.493, 0.561], [0.993, 0.453, 0.061]], "dos_ef_per_ev_cell": 0.0}

---

According to the calculations, the structures order from most to least stable as entry two, entry one.

---

Entry one
{"formula": "RbIn2I2", "functional": "PBE", "state": "relaxed", "lattice_angstrom": [[-2.227, 2.227, 10.095], [2.227, -2.227, 10.095], [2.227, 2.227, -10.095]], "species": ["Rb", "In", "In", "I", "I"], "fractional_positions": [[0.000, 0.000, 0.000], [0.250, 0.750, 0.500], [0.750, 0.250, 0.500], [0.394, 0.394, 0.000], [0.606, 0.606, 0.000]], "dos_ef_per_ev_cell": 1.0}

---

Entry two
{"formula": "RbIn2I2", "functional": "PBE", "state": "relaxed", "lattice_angstrom": [[9.554, 0.000, 0.000], [0.000, 9.554, 0.000], [0.000, 0.000, 5.014]], "species": ["Rb", "Rb", "In", "In", "In", "In", "I", "I", "I", "I"], "fractional_positions": [[0.000, 0.000, 0.000], [0.500, 0.500, 0.000], [0.114, 0.386, 0.500], [0.386, 0.886, 0.500], [0.614, 0.114, 0.500], [0.886, 0.614, 0.500], [0.159, 0.659, 0.000], [0.341, 0.159, 0.000], [0.659, 0.841, 0.000], [0.841, 0.341, 0.000]], "dos_ef_per_ev_cell": 7.4}

---

According to the calculations, the structures order from most to least stable as entry one, entry two.

---

Entry one
{"formula": "Rb3InI6", "functional": "PBE", "state": "relaxed", "lattice_angstrom": [[7.401, -8.906, 0.000], [7.401, 8.906, 0.000], [0.000, 0.000, 8.824]], "species": ["Rb", "Rb", "Rb", "Rb", "Rb", "Rb", "In", "In", "I", "I", "I", "I", "I", "I", "I", "I", "I", "I", "I", "I"], "fractional_positions": [[0.064, 0.936, 0.500], [0.204, 0.396, 0.608], [0.396, 0.204, 0.108], [0.604, 0.796, 0.608], [0.796, 0.604, 0.108], [0.936, 0.064, 0.000], [0.308, 0.692, 0.207], [0.692, 0.308, 0.707], [0.089, 0.616, 0.335], [0.127, 0.213, 0.291], [0.213, 0.127, 0.791], [0.305, 0.695, 0.896], [0.384, 0.911, 0.335], [0.454, 0.546, 0.320], [0.546, 0.454, 0.820], [0.616, 0.089, 0.835], [0.695, 0.305, 0.396], [0.787, 0.873, 0.291], [0.873, 0.787, 0.791], [0.911, 0.384, 0.835]]}

---

Entry two
{"formula": "Rb3InI6", "functional": "PBE", "state": "relaxed", "lattice_angstrom": [[0.000, 6.398, 6.398], [6.398, 0.000, 6.398], [6.398, 6.398, 0.000]], "species": ["Rb", "Rb", "Rb", "In", "I", "I", "I", "I", "I", "I"], "fractional_positions": [[0.000, 0.000, 0.000], [0.250, 0.250, 0.250], [0.750, 0.750, 0.750], [0.500, 0.500, 0.500], [0.270, 0.270, 0.730], [0.270, 0.730, 0.270], [0.270, 0.730, 0.730], [0.730, 0.270, 0.270], [0.730, 0.270, 0.730], [0.730, 0.730, 0.270]], "dos_ef_per_ev_cell": 0.0}

---

According to the calculations, the structures order from most to least stable as entry one, entry two.

---

Entry one
{"formula": "RbIn2I3", "functional": "PBE", "state": "relaxed", "lattice_angstrom": [[3.586, -3.586, 0.000], [3.586, 3.586, 0.000], [-3.581, 0.000, 10.780]], "species": ["Rb", "In", "In", "I", "I", "I"], "fractional_positions": [[0.000, 0.000, 0.000], [0.333, 0.332, 0.665], [0.668, 0.667, 0.335], [0.173, 0.171, 0.344], [0.500, 0.500, 0.000], [0.829, 0.827, 0.656]], "dos_ef_per_ev_cell": 0.0}

---

Entry two
{"formula": "RbIn2I3", "functional": "PBE", "state": "relaxed", "lattice_angstrom": [[6.204, -8.014, 0.000], [6.204, 8.014, 0.000], [0.000, 0.000, 6.224]], "species": ["Rb", "Rb", "In", "In", "In", "In", "I", "I", "I", "I", "I", "I"], "fractional_positions": [[0.175, 0.825, 0.750], [0.825, 0.175, 0.250], [0.362, 0.362, 0.000], [0.362, 0.362, 0.500], [0.638, 0.638, 0.000], [0.638, 0.638, 0.500], [0.077, 0.285, 0.750], [0.285, 0.077, 0.250], [0.326, 0.674, 0.250], [0.674, 0.326, 0.750], [0.715, 0.923, 0.750], [0.923, 0.715, 0.250]], "dos_ef_per_ev_cell": 1.5}

---

According to the calculations, the structures order from most to least stable as entry one, entry two.

---

Entry one
{"formula": "RbIn6I8", "functional": "PBE", "state": "relaxed", "lattice_angstrom": [[12.136, 0.000, 0.000], [-6.068, 10.510, 0.000], [0.000, 0.000, 5.132]], "species": ["Rb", "In", "In", "In", "In", "In", "In", "I", "I", "I", "I", "I", "I", "I", "I"], "fractional_positions": [[0.000, 0.000, 0.000], [0.137, 0.664, 0.248], [0.336, 0.473, 0.248], [0.473, 0.137, 0.752], [0.527, 0.863, 0.248], [0.664, 0.527, 0.752], [0.863, 0.336, 0.752], [0.027, 0.311, 0.251], [0.284, 0.973, 0.251], [0.311, 0.284, 0.749], [0.333, 0.667, 0.750], [0.667, 0.333, 0.250], [0.689, 0.716, 0.251], [0.716, 0.027, 0.749], [0.973, 0.689, 0.749]], "dos_ef_per_ev_cell": 6.5}

---

Entry two
{"formula": "RbIn6I8", "functional": "PBE", "state": "relaxed", "lattice_angstrom": [[6.258, 3.613, 5.052], [-6.258, 3.613, 5.052], [0.000, -7.226, 5.052]], "species": ["Rb", "In", "In", "In", "In", "In", "In", "I", "I", "I", "I", "I", "I", "I", "I"], "fractional_positions": [[0.000, 0.000, 0.000], [0.231, 0.579, 0.407], [0.407, 0.231, 0.579], [0.421, 0.593, 0.769], [0.579, 0.407, 0.231], [0.593, 0.769, 0.421], [0.769, 0.421, 0.593], [0.088, 0.369, 0.726], [0.246, 0.246, 0.246], [0.274, 0.912, 0.631], [0.369, 0.726, 0.088], [0.631, 0.274, 0.912], [0.726, 0.088, 0.369], [0.754, 0.754, 0.754], [0.912, 0.631, 0.274]], "dos_ef_per_ev_cell": 10.5}

---

According to the calculations, the structures order from most to least stable as entry one, entry two.

---

Entry one
{"formula": "Rb3InI4", "functional": "PBE", "state": "relaxed", "lattice_angstrom": [[5.207, -7.374, 0.000], [5.207, 7.374, 0.000], [0.000, 0.000, 5.220]], "species": ["Rb", "Rb", "Rb", "In", "I", "I", "I", "I"], "fractional_positions": [[0.000, 0.000, 0.000], [0.000, 0.500, 0.500], [0.500, 0.000, 0.500], [0.500, 0.500, 0.000], [0.256, 0.744, 0.000], [0.260, 0.260, 0.500], [0.740, 0.740, 0.500], [0.744, 0.256, 0.000]], "dos_ef_per_ev_cell": 0.0}

---

Entry two
{"formula": "Rb3InI4", "functional": "PBE", "state": "relaxed", "lattice_angstrom": [[12.602, 0.000, 0.000], [0.000, 10.730, 0.000], [0.000, 0.000, 7.345]], "species": ["Rb", "Rb", "Rb", "Rb", "Rb", "Rb", "In", "In", "I", "I", "I", "I", "I", "I", "I", "I"], "fractional_positions": [[0.000, 0.160, 0.000], [0.247, 0.331, 0.499], [0.253, 0.669, 0.999], [0.500, 0.840, 0.500], [0.747, 0.669, 0.999], [0.753, 0.331, 0.499], [0.000, 0.827, 0.493], [0.500, 0.173, 0.993], [0.000, 0.150, 0.500], [0.000, 0.824, 0.038], [0.245, 0.673, 0.499], [0.255, 0.327, 0.999], [0.500, 0.176, 0.538], [0.500, 0.850, 0.000], [0.745, 0.327, 0.999], [0.755, 0.673, 0.499]], "dos_ef_per_ev_cell": 0.0}

---

According to the calculations, the structures order from most to least stable as entry one, entry two.

---

Entry one
{"formula": "RbIn2I6", "functional": "PBE", "state": "relaxed", "lattice_angstrom": [[8.652, -7.325, 0.000], [8.652, 7.325, 0.000], [-3.837, 0.000, 8.584]], "species": ["Rb", "Rb", "In", "In", "In", "In", "I", "I", "I", "I", "I", "I", "I", "I", "I", "I", "I", "I"], "fractional_positions": [[0.141, 0.859, 0.750], [0.859, 0.141, 0.250], [0.191, 0.375, 0.799], [0.375, 0.191, 0.299], [0.625, 0.809, 0.701], [0.809, 0.625, 0.201], [0.033, 0.179, 0.672], [0.044, 0.600, 0.833], [0.179, 0.033, 0.172], [0.347, 0.357, 0.596], [0.357, 0.347, 0.096], [0.400, 0.956, 0.667], [0.600, 0.044, 0.333], [0.643, 0.653, 0.904], [0.653, 0.643, 0.404], [0.821, 0.967, 0.828], [0.956, 0.400, 0.167], [0.967, 0.821, 0.328]], "dos_ef_per_ev_cell": 6.5}

---

Entry two
{"formula": "RbIn2I6", "functional": "PBE", "state": "relaxed", "lattice_angstrom": [[8.064, -3.217, 0.000], [8.064, 3.217, 0.000], [-2.655, 0.000, 10.008]], "species": ["Rb", "In", "In", "I", "I", "I", "I", "I", "I"], "fractional_positions": [[0.000, 0.000, 0.000], [0.249, 0.249, 0.656], [0.751, 0.751, 0.344], [0.087, 0.087, 0.700], [0.236, 0.236, 0.363], [0.405, 0.405, 0.864], [0.595, 0.595, 0.136], [0.764, 0.764, 0.637], [0.913, 0.913, 0.300]], "dos_ef_per_ev_cell": 2.5}

---

According to the calculations, the structures order from most to least stable as entry one, entry two.

---

Entry one
{"formula": "Rb2InI5", "functional": "PBE", "state": "relaxed", "lattice_angstrom": [[-4.459, 4.459, 5.161], [4.459, -4.459, 5.161], [4.459, 4.459, -5.161]], "species": ["Rb", "Rb", "In", "I", "I", "I", "I", "I"], "fractional_positions": [[0.000, 0.500, 0.500], [0.500, 0.000, 0.500], [0.296, 0.296, 0.000], [0.013, 0.013, 0.548], [0.013, 0.464, 0.000], [0.464, 0.013, 0.000], [0.464, 0.464, 0.452], [0.565, 0.565, 0.000]]}

---

Entry two
{"formula": "Rb2InI5", "functional": "PBE", "state": "relaxed", "lattice_angstrom": [[13.872, 0.000, 0.000], [0.000, 15.417, 0.000], [0.000, 0.000, 10.308]], "species": ["Rb", "Rb", "Rb", "Rb", "Rb", "Rb", "Rb", "Rb", "In", "In", "In", "In", "I", "I", "I", "I", "I", "I", "I", "I", "I", "I", "I", "I", "I", "I", "I", "I", "I", "I", "I", "I"], "fractional_positions": [[0.000, 0.000, 0.231], [0.000, 0.000, 0.769], [0.120, 0.323, 0.000], [0.380, 0.823, 0.500], [0.500, 0.500, 0.269], [0.500, 0.500, 0.731], [0.620, 0.177, 0.500], [0.880, 0.677, 0.000], [0.246, 0.724, 0.000], [0.254, 0.224, 0.500], [0.746, 0.776, 0.500], [0.754, 0.276, 0.000], [0.063, 0.173, 0.500], [0.128, 0.578, 0.000], [0.145, 0.103, 0.000], [0.204, 0.820, 0.218], [0.204, 0.820, 0.782], [0.296, 0.320, 0.282], [0.296, 0.320, 0.718], [0.355, 0.603, 0.500], [0.372, 0.078, 0.500], [0.437, 0.673, 0.000], [0.563, 0.327, 0.000], [0.628, 0.922, 0.500], [0.645, 0.397, 0.500], [0.704, 0.680, 0.282], [0.704, 0.680, 0.718], [0.796, 0.180, 0.218], [0.796, 0.180, 0.782], [0.855, 0.897, 0.000], [0.872, 0.422, 0.000], [0.937, 0.827, 0.500]]}

---

According to the calculations, the structures order from most to least stable as entry one, entry two.